Entry 1:
# KCuNiSeS2 (PBE, optimized geometry)
# calculated total energy = -4.095 eV per atom
# space group = Cmcm
data_KCuNiSeS2
_space_group_name_H-M_alt 'P 1'
_space_group_IT_number 1
_cell_length_a 7.4590
_cell_length_b 7.4590
_cell_length_c 9.7854
_cell_angle_alpha 90.00
_cell_angle_beta 90.00
_cell_angle_gamma 152.78
loop_
_space_group_symop_operation_xyz
'x,y,z'
loop_
_atom_site_label
_atom_site_fract_x
_atom_site_fract_y
_atom_site_fract_z
K1 0.2445 0.7555 0.7500
K2 0.7555 0.2445 0.2500
Cu1 0.4511 0.5489 0.2500
Cu2 0.5489 0.4511 0.7500
Ni1 0.0000 0.0000 0.0000
Ni2 0.0000 0.0000 0.5000
Se1 0.0629 0.9371 0.2500
Se2 0.9371 0.0629 0.7500
S1 0.3983 0.6017 0.0361
S2 0.3983 0.6017 0.4639
S3 0.6017 0.3983 0.5361
S4 0.6017 0.3983 0.9639

Entry 2:
# KCuNiSe3 (PBE, optimized geometry)
# calculated total energy = -3.921 eV per atom
# space group = P2_1/m
data_KCuNiSe3
_space_group_name_H-M_alt 'P 1'
_space_group_IT_number 1
_cell_length_a 7.9875
_cell_length_b 3.7625
_cell_length_c 9.5959
_cell_angle_alpha 90.00
_cell_angle_beta 112.02
_cell_angle_gamma 90.00
loop_
_space_group_symop_operation_xyz
'x,y,z'
loop_
_atom_site_label
_atom_site_fract_x
_atom_site_fract_y
_atom_site_fract_z
K1 0.2485 0.2500 0.2130
K2 0.7515 0.7500 0.7870
Cu1 0.4332 0.2500 0.9047
Cu2 0.5668 0.7500 0.0953
Ni1 0.1734 0.7500 0.6455
Ni2 0.8266 0.2500 0.3545
Se1 0.0274 0.7500 0.3784
Se2 0.2452 0.7500 0.9220
Se3 0.3714 0.2500 0.6360
Se4 0.6286 0.7500 0.3640
Se5 0.7548 0.2500 0.0780
Se6 0.9726 0.2500 0.6216

Entry 3:
# KCuNiTe (PBE, optimized geometry)
# calculated total energy = -3.038 eV per atom
# excess energy over the best structure of this formula in the dataset = 0 meV per atom
# space group = F-43m
data_KCuNiTe
_space_group_name_H-M_alt 'P 1'
_space_group_IT_number 1
_cell_length_a 6.7782
_cell_length_b 6.7782
_cell_length_c 6.7782
_cell_angle_alpha 90.00
_cell_angle_beta 90.00
_cell_angle_gamma 90.00
loop_
_space_group_symop_operation_xyz
'x,y,z'
loop_
_atom_site_label
_atom_site_fract_x
_atom_site_fract_y
_atom_site_fract_z
K1 0.0000 0.0000 0.0000
K2 0.0000 0.5000 0.5000
K3 0.5000 0.0000 0.5000
K4 0.5000 0.5000 0.0000
Cu1 0.2500 0.2500 0.7500
Cu2 0.2500 0.7500 0.2500
Cu3 0.7500 0.2500 0.2500
Cu4 0.7500 0.7500 0.7500
Ni1 0.2500 0.2500 0.2500
Ni2 0.2500 0.7500 0.7500
Ni3 0.7500 0.2500 0.7500
Ni4 0.7500 0.7500 0.2500
Te1 0.0000 0.0000 0.5000
Te2 0.0000 0.5000 0.0000
Te3 0.5000 0.0000 0.0000
Te4 0.5000 0.5000 0.5000

Entry 4:
# KCuNiTe (PBE, optimized geometry)
# calculated total energy = -2.828 eV per atom
# excess energy over the best structure of this formula in the dataset = 209 meV per atom
# space group = F-43m
data_KCuNiTe
_space_group_name_H-M_alt 'P 1'
_space_group_IT_number 1
_cell_length_a 6.9580
_cell_length_b 6.9580
_cell_length_c 6.9580
_cell_angle_alpha 90.00
_cell_angle_beta 90.00
_cell_angle_gamma 90.00
loop_
_space_group_symop_operation_xyz
'x,y,z'
loop_
_atom_site_label
_atom_site_fract_x
_atom_site_fract_y
_atom_site_fract_z
K1 0.0000 0.0000 0.0000
K2 0.0000 0.5000 0.5000
K3 0.5000 0.0000 0.5000
K4 0.5000 0.5000 0.0000
Cu1 0.0000 0.0000 0.5000
Cu2 0.0000 0.5000 0.0000
Cu3 0.5000 0.0000 0.0000
Cu4 0.5000 0.5000 0.5000
Ni1 0.2500 0.2500 0.7500
Ni2 0.2500 0.7500 0.2500
Ni3 0.7500 0.2500 0.2500
Ni4 0.7500 0.7500 0.7500
Te1 0.2500 0.2500 0.2500
Te2 0.2500 0.7500 0.7500
Te3 0.7500 0.2500 0.7500
Te4 0.7500 0.7500 0.2500

Entry 5:
# KCuNiTe (PBE, optimized geometry)
# calculated total energy = -2.959 eV per atom
# excess energy over the best structure of this formula in the dataset = 79 meV per atom
# space group = F-43m
data_KCuNiTe
_space_group_name_H-M_alt 'P 1'
_space_group_IT_number 1
_cell_length_a 6.9262
_cell_length_b 6.9262
_cell_length_c 6.9262
_cell_angle_alpha 90.00
_cell_angle_beta 90.00
_cell_angle_gamma 90.00
loop_
_space_group_symop_operation_xyz
'x,y,z'
loop_
_atom_site_label
_atom_site_fract_x
_atom_site_fract_y
_atom_site_fract_z
K1 0.0000 0.0000 0.0000
K2 0.0000 0.5000 0.5000
K3 0.5000 0.0000 0.5000
K4 0.5000 0.5000 0.0000
Cu1 0.2500 0.2500 0.2500
Cu2 0.2500 0.7500 0.7500
Cu3 0.7500 0.2500 0.7500
Cu4 0.7500 0.7500 0.2500
Ni1 0.0000 0.0000 0.5000
Ni2 0.0000 0.5000 0.0000
Ni3 0.5000 0.0000 0.0000
Ni4 0.5000 0.5000 0.5000
Te1 0.2500 0.2500 0.7500
Te2 0.2500 0.7500 0.2500
Te3 0.7500 0.2500 0.2500
Te4 0.7500 0.7500 0.7500

Entry 6:
# KY2CuNi (PBE, optimized geometry)
# calculated total energy = -4.739 eV per atom
# space group = Amm2
data_KY2CuNi
_space_group_name_H-M_alt 'P 1'
_space_group_IT_number 1
_cell_length_a 3.7576
_cell_length_b 4.2937
_cell_length_c 17.1706
_cell_angle_alpha 90.00
_cell_angle_beta 90.00
_cell_angle_gamma 90.00
loop_
_space_group_symop_operation_xyz
'x,y,z'
loop_
_atom_site_label
_atom_site_fract_x
_atom_site_fract_y
_atom_site_fract_z
K1 0.0000 0.0000 0.0000
K2 0.0000 0.5000 0.5000
Y1 0.5000 0.0000 0.3298
Y2 0.5000 0.0000 0.6660
Y3 0.5000 0.5000 0.1660
Y4 0.5000 0.5000 0.8298
Cu1 0.0000 0.0000 0.7947
Cu2 0.0000 0.5000 0.2947
Ni1 0.0000 0.0000 0.2078
Ni2 0.0000 0.5000 0.7078

Entry 7:
# KCuOsSeS2 (PBE, optimized geometry)
# calculated total energy = -4.972 eV per atom
# space group = Cmcm
data_KCuOsSeS2
_space_group_name_H-M_alt 'P 1'
_space_group_IT_number 1
_cell_length_a 7.5480
_cell_length_b 7.5480
_cell_length_c 9.4784
_cell_angle_alpha 90.00
_cell_angle_beta 90.00
_cell_angle_gamma 151.64
loop_
_space_group_symop_operation_xyz
'x,y,z'
loop_
_atom_site_label
_atom_site_fract_x
_atom_site_fract_y
_atom_site_fract_z
K1 0.2308 0.7692 0.7500
K2 0.7692 0.2308 0.2500
Cu1 0.4692 0.5308 0.2500
Cu2 0.5308 0.4692 0.7500
Os1 0.0000 0.0000 0.0000
Os2 0.0000 0.0000 0.5000
Se1 0.0779 0.9221 0.2500
Se2 0.9221 0.0779 0.7500
S1 0.3976 0.6024 0.0442
S2 0.3976 0.6024 0.4558
S3 0.6024 0.3976 0.5442
S4 0.6024 0.3976 0.9558

Entry 8:
# KCuTeOsS2 (PBE, optimized geometry)
# calculated total energy = -4.871 eV per atom
# space group = Cmcm
data_KCuTeOsS2
_space_group_name_H-M_alt 'P 1'
_space_group_IT_number 1
_cell_length_a 7.9615
_cell_length_b 7.9615
_cell_length_c 9.6749
_cell_angle_alpha 90.00
_cell_angle_beta 90.00
_cell_angle_gamma 153.06
loop_
_space_group_symop_operation_xyz
'x,y,z'
loop_
_atom_site_label
_atom_site_fract_x
_atom_site_fract_y
_atom_site_fract_z
K1 0.2130 0.7870 0.7500
K2 0.7870 0.2130 0.2500
Cu1 0.4702 0.5298 0.2500
Cu2 0.5298 0.4702 0.7500
Te1 0.0889 0.9111 0.2500
Te2 0.9111 0.0889 0.7500
Os1 0.0000 0.0000 0.0000
Os2 0.0000 0.0000 0.5000
S1 0.4040 0.5960 0.0479
S2 0.4040 0.5960 0.4521
S3 0.5960 0.4040 0.5479
S4 0.5960 0.4040 0.9521

Entry 9:
# KCuOsSe3 (PBE, optimized geometry)
# calculated total energy = -4.691 eV per atom
# space group = Cmcm
data_KCuOsSe3
_space_group_name_H-M_alt 'P 1'
_space_group_IT_number 1
_cell_length_a 7.5391
_cell_length_b 7.5391
_cell_length_c 9.6775
_cell_angle_alpha 90.00
_cell_angle_beta 90.00
_cell_angle_gamma 150.52
loop_
_space_group_symop_operation_xyz
'x,y,z'
loop_
_atom_site_label
_atom_site_fract_x
_atom_site_fract_y
_atom_site_fract_z
K1 0.2403 0.7597 0.7500
K2 0.7597 0.2403 0.2500
Cu1 0.4664 0.5336 0.2500
Cu2 0.5336 0.4664 0.7500
Os1 0.0000 0.0000 0.0000
Os2 0.0000 0.0000 0.5000
Se1 0.0702 0.9298 0.2500
Se2 0.3883 0.6117 0.0378
Se3 0.3883 0.6117 0.4622
Se4 0.6117 0.3883 0.5378
Se5 0.6117 0.3883 0.9622
Se6 0.9298 0.0702 0.7500

Entry 10:
# K2CuOsSe4 (PBE, optimized geometry)
# calculated total energy = -4.360 eV per atom
# space group = Fddd
data_K2CuOsSe4
_space_group_name_H-M_alt 'P 1'
_space_group_IT_number 1
_cell_length_a 13.2458
_cell_length_b 11.8730
_cell_length_c 7.2579
_cell_angle_alpha 83.94
_cell_angle_beta 63.04
_cell_angle_gamma 33.02
loop_
_space_group_symop_operation_xyz
'x,y,z'
loop_
_atom_site_label
_atom_site_fract_x
_atom_site_fract_y
_atom_site_fract_z
K1 0.0556 0.0556 0.6944
K2 0.3056 0.3056 0.9444
K3 0.6944 0.6944 0.0556
K4 0.9444 0.9444 0.3056
Cu1 0.3750 0.3750 0.3750
Cu2 0.6250 0.6250 0.6250
Os1 0.1250 0.1250 0.1250
Os2 0.8750 0.8750 0.8750
Se1 0.0433 0.3208 0.4094
Se2 0.2735 0.5906 0.6792
Se3 0.3208 0.0433 0.7265
Se4 0.4094 0.7265 0.0433
Se5 0.5906 0.2735 0.9567
Se6 0.6792 0.9567 0.2735
Se7 0.7265 0.4094 0.3208
Se8 0.9567 0.6792 0.5906

Copy entry 6 word for word.
# KY2CuNi (PBE, optimized geometry)
# calculated total energy = -4.739 eV per atom
# space group = Amm2
data_KY2CuNi
_space_group_name_H-M_alt 'P 1'
_space_group_IT_number 1
_cell_length_a 3.7576
_cell_length_b 4.2937
_cell_length_c 17.1706
_cell_angle_alpha 90.00
_cell_angle_beta 90.00
_cell_angle_gamma 90.00
loop_
_space_group_symop_operation_xyz
'x,y,z'
loop_
_atom_site_label
_atom_site_fract_x
_atom_site_fract_y
_atom_site_fract_z
K1 0.0000 0.0000 0.0000
K2 0.0000 0.5000 0.5000
Y1 0.5000 0.0000 0.3298
Y2 0.5000 0.0000 0.6660
Y3 0.5000 0.5000 0.1660
Y4 0.5000 0.5000 0.8298
Cu1 0.0000 0.0000 0.7947
Cu2 0.0000 0.5000 0.2947
Ni1 0.0000 0.0000 0.2078
Ni2 0.0000 0.5000 0.7078

Q: The lowest calculated total energy belongs to which entry?
A: KCuOsSeS2

Q: The highest calculated total energy belongs to which entry?
A: number 4